i.
This record from Alexandria via LeMat-Bulk describes a relaxed structure of ZnTcSn. The functional is GGA-PBE.

a b c (Å): 4.944 4.977 4.989
angles (deg): 86.23 60.18 76.88
Fractional positions:
Zn 0.986 0.282 0.650
Tc 0.353 0.229 0.983
Tc 0.647 0.771 0.017
Sn 0.311 0.759 0.702
Zn 0.014 0.718 0.350
Sn 0.689 0.241 0.298

ii.
This record from Alexandria via LeMat-Bulk describes a relaxed structure of ZnTcSn. The functional is GGA-PBE.

a b c (Å): 3.377 3.377 5.042
angles (deg): 109.56 109.56 90.00
Last column: magnetic moment on the atom in μB.
Fractional positions:
Sn 0.946 0.946 0.891  0.01
Zn 0.629 0.629 0.257  0.02
Tc 0.276 0.276 0.551  0.56

Energy relative to the most stable one, in meV per atom: i 13; ii 0